(1)
Computed, not measured: a geometry-optimized AlAs structure at the PBE-GGA level of DFT.

Cell lengths 5.301, 5.301, 5.301 Å; angles 90.00, 90.00, 90.00 degrees
Space group Fm-3m (No. 225)
Symmetry-distinct sites (fractional):
Al  0.000  0.000  0.000 (multiplicity 4)
As  0.000  0.000  0.500 (multiplicity 4)

## Properties
* E_form: -0.213 eV per atom
* Fermi-level density of states: 0.38 states/eV per atom
* mass density: 4.54 g/cm³



(2)
Computed, not measured: a geometry-optimized Ac12Hg6Au structure at the PBE-GGA level of DFT.

Cell lengths 14.3686, 14.3686, 13.3738 Å; angles 90.00, 90.00, 120.00 degrees
Space group R-3 (No. 148, hexagonal axes)
Symmetry-distinct sites (fractional):
Ac  0.0298  0.2062  0.3922 (multiplicity 18)
Ac  0.0432  0.2010  0.8794 (multiplicity 18)
Hg  0.0467  0.2719  0.6415 (multiplicity 18)
Au  0.0000  0.0000  0.0000 (multiplicity 3)

## Properties
* E_form: -0.185 eV per atom
* Fermi-level density of states: 1.44 states/eV per atom
* mass density: 8.59 g/cm³



(3)
Computed, not measured: a geometry-optimized NdSmHoIn structure at the PBE-GGA level of DFT.

Cell lengths 4.853, 4.853, 10.088 Å; angles 90.00, 90.00, 90.00 degrees
Space group I-4m2 (No. 119)
Symmetry-distinct sites (fractional):
Nd  0.000  0.000  0.000 (multiplicity 2)
Sm  0.000  0.500  0.750 (multiplicity 2)
Ho  0.000  0.500  0.250 (multiplicity 2)
In  0.000  0.000  0.500 (multiplicity 2)

## Properties
* E_form: -0.229 eV per atom
* Fermi-level density of states: 1.48 states/eV per atom
* mass density: 8.03 g/cm³
* energy above the lowest structure with this stoichiometry: 0 meV/atom



(4)
Computed, not measured: a geometry-optimized K2La2Te structure at the PBE-GGA level of DFT.

Cell lengths 8.288, 8.288, 6.748 Å; angles 90.00, 90.00, 90.00 degrees
Space group P4/mbm (No. 127)
Symmetry-distinct sites (fractional):
K  0.148  0.352  0.000 (multiplicity 4)
La  0.135  0.635  0.500 (multiplicity 4)
Te  0.000  0.000  0.000 (multiplicity 2)

## Properties
* Fermi-level density of states: 0.79 states/eV per atom
* mass density: 3.46 g/cm³
* raw formation energy: 0.2083 eV per atom
* energy above the lowest structure with this stoichiometry: 168 meV/atom



(5)
Computed, not measured: a geometry-optimized Ca3Al2Ge3 structure at the PBE-GGA level of DFT.

Cell lengths 11.408, 4.377, 14.783 Å; angles 90.00, 90.00, 90.00 degrees
Space group Pnma (No. 62)
Symmetry-distinct sites (fractional):
Ca  0.105  0.250  0.062 (multiplicity 4)
Ca  0.105  0.750  0.433 (multiplicity 4)
Ca  0.123  0.250  0.797 (multiplicity 4)
Al  0.144  0.250  0.291 (multiplicity 4)
Al  0.183  0.250  0.588 (multiplicity 4)
Ge  0.072  0.750  0.639 (multiplicity 4)
Ge  0.140  0.750  0.200 (multiplicity 4)
Ge  0.199  0.750  0.934 (multiplicity 4)

## Properties
* E_form: -0.545 eV per atom
* Fermi-level density of states: 0.11 states/eV per atom
* mass density: 3.53 g/cm³
* energy above the lowest structure with this stoichiometry: 0 meV/atom



(6)
Computed, not measured: a geometry-optimized NaAuN2O structure at the PBE-GGA level of DFT.

Cell lengths 4.075, 4.075, 4.377 Å; angles 90.00, 90.00, 90.00 degrees
Space group P4/mmm (No. 123)
Symmetry-distinct sites (fractional):
Na  0.000  0.000  0.000 (multiplicity 1)
Au  0.500  0.500  0.500 (multiplicity 1)
N  0.000  0.500  0.500 (multiplicity 2)
O  0.500  0.500  0.000 (multiplicity 1)

## Properties
* Fermi-level density of states: 0.54 states/eV per atom
* mass density: 6.03 g/cm³
* raw formation energy: 1.2419 eV per atom



(7)
Computed, not measured: a geometry-optimized Ni3Pb4 structure at the PBE-GGA level of DFT.

Cell lengths 5.2564, 5.2564, 6.2332 Å; angles 90.00, 90.00, 120.00 degrees
Space group P6/mmm (No. 191)
Symmetry-distinct sites (fractional):
Ni  0.0000  0.5000  0.0000 (multiplicity 3)
Pb  0.0000  0.0000  0.2331 (multiplicity 2)
Pb  0.3333  0.6667  0.5000 (multiplicity 2)

## Properties
* E_form: 0.366 eV per atom
* Fermi-level density of states: 1.26 states/eV per atom
* mass density: 11.19 g/cm³



(8)
Computed, not measured: a geometry-optimized Re4Sb structure at the PBE-GGA level of DFT.

Cell lengths 6.263, 6.263, 4.075 Å; angles 90.00, 90.00, 90.00 degrees
Space group I4/m (No. 87)
Symmetry-distinct sites (fractional):
Re  0.081  0.304  0.000 (multiplicity 8)
Sb  0.000  0.000  0.500 (multiplicity 2)

## Properties
* Fermi-level density of states: 0.92 states/eV per atom
* mass density: 18.00 g/cm³
* raw formation energy: 0.4211 eV per atom
* energy above the lowest structure with this stoichiometry: 0 meV/atom



(9)
Computed, not measured: a geometry-optimized LaTa3Cd structure at the PBE-GGA level of DFT.

Cell lengths 4.940, 4.940, 4.940 Å; angles 90.00, 90.00, 90.00 degrees
Space group Pm-3m (No. 221)
Symmetry-distinct sites (fractional):
La  0.000  0.000  0.000 (multiplicity 1)
Ta  0.000  0.000  0.500 (multiplicity 3)
Cd  0.500  0.500  0.500 (multiplicity 1)

## Properties
* E_form: 2.122 eV per atom
* Fermi-level density of states: 1.05 states/eV per atom
* mass density: 10.94 g/cm³
* energy above the lowest structure with this stoichiometry: 320 meV/atom



(10)
Computed, not measured: a geometry-optimized AcDy2Tl2Hg2 structure at the PBE-GGA level of DFT.

Cell lengths 5.0656, 5.0656, 27.8262 Å; angles 90.00, 90.00, 120.00 degrees
Space group R-3m (No. 166, hexagonal axes)
Symmetry-distinct sites (fractional):
Ac  0.0000  0.0000  0.0000 (multiplicity 3)
Dy  0.0000  0.0000  0.1350 (multiplicity 6)
Tl  0.0000  0.0000  0.2637 (multiplicity 6)
Hg  0.0000  0.0000  0.4404 (multiplicity 6)

## Properties
* E_form: -0.260 eV per atom
* Fermi-level density of states: 0.55 states/eV per atom
* mass density: 10.97 g/cm³



(11)
Computed, not measured: a geometry-optimized Pm2BeOs structure at the PBE-GGA level of DFT.

Cell lengths 7.021, 7.021, 7.021 Å; angles 90.00, 90.00, 90.00 degrees
Space group Fm-3m (No. 225)
Symmetry-distinct sites (fractional):
Pm  0.250  0.250  0.250 (multiplicity 8)
Be  0.000  0.000  0.000 (multiplicity 4)
Os  0.000  0.000  0.500 (multiplicity 4)

## Properties
* E_form: 0.107 eV per atom
* Fermi-level density of states: 0.98 states/eV per atom
* mass density: 9.39 g/cm³
* energy above the lowest structure with this stoichiometry: 258 meV/atom



(12)
Computed, not measured: a geometry-optimized KGaI2 structure at the PBE-GGA level of DFT.

Cell lengths 5.906, 5.906, 4.202 Å; angles 90.00, 90.00, 90.00 degrees
Space group P4/mmm (No. 123)
Symmetry-distinct sites (fractional):
K  0.000  0.000  0.000 (multiplicity 1)
Ga  0.500  0.500  0.000 (multiplicity 1)
I  0.000  0.500  0.500 (multiplicity 2)

## Properties
* Fermi-level density of states: 0.00 states/eV per atom
* mass density: 4.11 g/cm³
* raw formation energy: -0.8182 eV per atom
* energy above the lowest structure with this stoichiometry: 80 meV/atom



(13)
Computed, not measured: a geometry-optimized Ce4Pa structure at the PBE-GGA level of DFT.

Cell lengths 3.3072, 3.3072, 40.7852 Å; angles 90.00, 90.00, 120.00 degrees
Space group R-3m (No. 166, hexagonal axes)
Symmetry-distinct sites (fractional):
Ce  0.0000  0.0000  0.1002 (multiplicity 6)
Ce  0.0000  0.0000  0.3000 (multiplicity 6)
Pa  0.0000  0.0000  0.5000 (multiplicity 3)

## Properties
* E_form: 0.013 eV per atom
* Fermi-level density of states: 2.16 states/eV per atom
* mass density: 10.21 g/cm³
* energy above the lowest structure with this stoichiometry: 0 meV/atom



(14)
Computed, not measured: a geometry-optimized CaTa2Co structure at the PBE-GGA level of DFT.

Cell lengths 3.188, 4.522, 5.085 Å; angles 90.00, 90.00, 90.00 degrees
Space group Pmmm (No. 47)
Symmetry-distinct sites (fractional):
Ca  0.000  0.000  0.000 (multiplicity 1)
Ta  0.000  0.500  0.500 (multiplicity 1)
Ta  0.500  0.000  0.500 (multiplicity 1)
Co  0.500  0.500  0.000 (multiplicity 1)

## Properties
* E_form: 0.606 eV per atom
* Fermi-level density of states: 0.99 states/eV per atom
* mass density: 10.44 g/cm³
* energy above the lowest structure with this stoichiometry: 389 meV/atom



(15)
Computed, not measured: a geometry-optimized Fe2ReSe structure at the PBE-GGA level of DFT.

Cell lengths 3.096, 4.467, 8.350 Å; angles 90.00, 90.00, 90.00 degrees
Space group Cmmm (No. 65)
Symmetry-distinct sites (fractional):
Fe  0.000  0.000  0.242 (multiplicity 4)
Re  0.000  0.500  0.000 (multiplicity 2)
Se  0.000  0.500  0.500 (multiplicity 2)

## Properties
* Fermi-level density of states: 1.21 states/eV per atom
* mass density: 10.84 g/cm³
* raw formation energy: 0.4042 eV per atom



(16)
Computed, not measured: a geometry-optimized TaCrSi3 structure at the PBE-GGA level of DFT.

Cell lengths 4.356, 4.356, 4.356 Å; angles 90.00, 90.00, 90.00 degrees
Space group Pm-3m (No. 221)
Symmetry-distinct sites (fractional):
Ta  0.000  0.000  0.000 (multiplicity 1)
Cr  0.500  0.500  0.500 (multiplicity 1)
Si  0.000  0.500  0.500 (multiplicity 3)

## Properties
* Fermi-level density of states: 1.66 states/eV per atom
* mass density: 6.37 g/cm³
* raw formation energy: 0.8736 eV per atom
* energy above the lowest structure with this stoichiometry: 0 meV/atom



(17)
Computed, not measured: a geometry-optimized BaTc3Sn structure at the PBE-GGA level of DFT.

Cell lengths 5.102, 5.102, 5.102 Å; angles 90.00, 90.00, 90.00 degrees
Space group Pm-3m (No. 221)
Symmetry-distinct sites (fractional):
Ba  0.000  0.000  0.000 (multiplicity 1)
Tc  0.000  0.500  0.500 (multiplicity 3)
Sn  0.500  0.500  0.500 (multiplicity 1)

## Properties
* E_form: 1.526 eV per atom
* Fermi-level density of states: 1.02 states/eV per atom
* mass density: 6.88 g/cm³
* energy above the lowest structure with this stoichiometry: 0 meV/atom



(18)
Computed, not measured: a geometry-optimized CaAlZnAs2 structure at the PBE-GGA level of DFT.

Cell lengths 5.047, 5.047, 4.720 Å; angles 90.00, 90.00, 90.00 degrees
Space group P4/mmm (No. 123)
Symmetry-distinct sites (fractional):
Ca  0.000  0.000  0.000 (multiplicity 1)
Al  0.500  0.500  0.000 (multiplicity 1)
Zn  0.500  0.500  0.500 (multiplicity 1)
As  0.000  0.500  0.500 (multiplicity 2)

## Properties
* E_form: 0.056 eV per atom
* Fermi-level density of states: 0.48 states/eV per atom
* mass density: 3.90 g/cm³



(19)
Computed, not measured: a geometry-optimized Ba2CeZn2S6 structure at the PBE-GGA level of DFT.

Cell lengths 7.3193, 7.3193, 20.4565 Å; angles 90.00, 90.00, 120.00 degrees
Space group R-3m (No. 166, hexagonal axes)
Symmetry-distinct sites (fractional):
Ba  0.0000  0.0000  0.2131 (multiplicity 6)
Ce  0.0000  0.0000  0.0000 (multiplicity 3)
Zn  0.0000  0.0000  0.4209 (multiplicity 6)
S  0.0172  0.5086  0.7557 (multiplicity 18)

## Properties
* mass density: 3.87 g/cm³
* raw formation energy: -1.3804 eV per atom



(20)
Computed, not measured: a geometry-optimized K2RbPtRh structure at the PBE-GGA level of DFT.

Cell lengths 5.704, 5.704, 5.445 Å; angles 90.00, 90.00, 90.00 degrees
Space group P4/mmm (No. 123)
Symmetry-distinct sites (fractional):
K  0.000  0.500  0.000 (multiplicity 2)
Rb  0.000  0.000  0.500 (multiplicity 1)
Pt  0.500  0.500  0.500 (multiplicity 1)
Rh  0.000  0.000  0.000 (multiplicity 1)

## Properties
* E_form: 0.858 eV per atom
* Fermi-level density of states: 1.31 states/eV per atom
* mass density: 4.33 g/cm³